First-principles (PBE) data for an optimized crystal structure of Nd2Ge5Rh3, as listed in the Alexandria database.

Summary:
- crystal system = orthorhombic
- energy relative to the elements (eV/atom) = -0.8233
- spin magnetization (Bohr magnetons per cell) = 0.00

The structure in CIF format:
```
data_Nd2Ge5Rh3
_chemical_formula_sum 'Nd4 Ge10 Rh6'
_space_group_name_H-M_alt 'P 1'
_space_group_IT_number 1
_cell_length_a 8.4665
_cell_length_b 8.4665
_cell_length_c 8.4665
_cell_angle_alpha 137.93
_cell_angle_beta 106.19
_cell_angle_gamma 88.79
loop_
_space_group_symop_operation_xyz
'x,y,z'
loop_
_atom_site_label
_atom_site_fract_x
_atom_site_fract_y
_atom_site_fract_z
_atom_site_occupancy
Nd1 0.5974 0.8664 0.7310 1
Nd2 0.1355 0.3664 0.7690 1
Nd3 0.4026 0.1336 0.2690 1
Nd4 0.8645 0.6336 0.2310 1
Ge1 0.5000 0.2500 0.7500 1
Ge2 0.5000 0.7500 0.2500 1
Ge3 0.2597 0.5993 0.6604 1
Ge4 0.9389 0.0993 0.8396 1
Ge5 0.7403 0.4007 0.3396 1
Ge6 0.0611 0.9007 0.1604 1
Ge7 0.2227 0.9727 0.7500 1
Ge8 0.2227 0.4727 0.2500 1
Ge9 0.7773 0.5273 0.7500 1
Ge10 0.7773 0.0273 0.2500 1
Rh1 0.0000 0.2500 0.2500 1
Rh2 0.7474 0.1407 0.6067 1
Rh3 0.4660 0.3593 0.1067 1
Rh4 0.2526 0.8593 0.3933 1
Rh5 0.0000 0.7500 0.7500 1
Rh6 0.5340 0.6407 0.8933 1
```



First-principles (PBE) data for an optimized crystal structure of Sm2ScSn2, as listed in the Alexandria database.

Summary:
- crystal system = tetragonal
- energy relative to the elements (eV/atom) = -0.7047
- ΔE to the lowest computed polymorph (eV per formula unit) = 0.00
- spin magnetization (Bohr magnetons per cell) = 0.00

The structure in CIF format:
```
data_Sm2ScSn2
_chemical_formula_sum 'Sm4 Sc2 Sn4'
_space_group_name_H-M_alt 'P 1'
_space_group_IT_number 1
_cell_length_a 4.5805
_cell_length_b 7.8341
_cell_length_c 7.8341
_cell_angle_alpha 90.00
_cell_angle_beta 90.00
_cell_angle_gamma 90.00
loop_
_space_group_symop_operation_xyz
'x,y,z'
loop_
_atom_site_label
_atom_site_fract_x
_atom_site_fract_y
_atom_site_fract_z
_atom_site_occupancy
Sm1 0.5000 0.1712 0.6712 1
Sm2 0.5000 0.6712 0.8288 1
Sm3 0.5000 0.8288 0.3288 1
Sm4 0.5000 0.3288 0.1712 1
Sc1 0.0000 0.0000 0.0000 1
Sc2 0.0000 0.5000 0.5000 1
Sn1 0.0000 0.3658 0.8658 1
Sn2 0.0000 0.8658 0.6342 1
Sn3 0.0000 0.6342 0.1342 1
Sn4 0.0000 0.1342 0.3658 1
```



First-principles (PBE) data for an optimized crystal structure of Li2MgBe, as listed in the Alexandria database.

Summary:
- crystal system = tetragonal
- energy relative to the elements (eV/atom) = 0.3537
- ΔE to the lowest computed polymorph (eV per formula unit) = 0.80
- spin magnetization (Bohr magnetons per cell) = 0.00

The structure in CIF format:
```
data_Li2MgBe
_chemical_formula_sum 'Li4 Mg2 Be2'
_space_group_name_H-M_alt 'P 1'
_space_group_IT_number 1
_cell_length_a 7.1543
_cell_length_b 7.1543
_cell_length_c 5.6935
_cell_angle_alpha 51.08
_cell_angle_beta 51.08
_cell_angle_gamma 90.00
loop_
_space_group_symop_operation_xyz
'x,y,z'
loop_
_atom_site_label
_atom_site_fract_x
_atom_site_fract_y
_atom_site_fract_z
_atom_site_occupancy
Be1 0.5000 0.5000 0.0000 1
Be2 0.2500 0.7500 0.5000 1
Mg1 0.0000 0.0000 0.0000 1
Mg2 0.7500 0.2500 0.5000 1
Li1 0.5870 0.1250 0.2500 1
Li2 0.1630 0.6250 0.2500 1
Li3 0.3750 0.4130 0.7500 1
Li4 0.8750 0.8370 0.7500 1
```